Here is a relaxed structure of Li2TlGaF8 from the Alexandria database. Energies are from PBE-GGA.

- E_form (uncorrected) (eV/atom) = -2.4035
- raw total energy (eV per cell) = -53.03

Unit cell a=5.813 b=5.813 c=5.813 alpha=110.62 beta=110.62 gamma=107.19
Element x y z (fractional)
F (0.951, 0.633, 0.682)
F (0.311, 0.093, 0.782)
F (0.471, 0.689, 0.782)
F (0.731, 0.049, 0.682)
F (0.951, 0.269, 0.318)
F (0.311, 0.529, 0.218)
F (0.907, 0.689, 0.218)
F (0.367, 0.049, 0.318)
Ga (0.250, 0.750, 0.500)
Tl (0.000, 0.000, 0.000)
Li (0.750, 0.250, 0.500)
Li (0.500, 0.500, 0.000)